Dy3TmTl2C2: optimized geometry, PBE.

abc: 3.601 3.601 16.247
angles: 90.00 90.00 120.00
Positions (direct):
Dy: 0.000 0.000 0.000
Dy: 0.000 0.000 0.336
Dy: 0.333 0.667 0.502
Tm: 0.333 0.667 0.836
Tl: 0.000 0.000 0.670
Tl: 0.333 0.667 0.168
C: 0.667 0.333 0.419
C: 0.667 0.333 0.917

Output
Total energy (eV/atom): -5.560
Volume (Å³ per cell): 182

Dy3ZrTl2C2: optimized geometry, PBE.

abc: 3.542 3.542 16.028
angles: 90.00 90.00 120.00
Positions (direct):
Dy: 0.000 0.000 0.000
Dy: 0.000 0.000 0.338
Dy: 0.667 0.333 0.830
Zr: 0.667 0.333 0.500
Tl: 0.000 0.000 0.660
Tl: 0.667 0.333 0.171
C: 0.333 0.667 0.431
C: 0.333 0.667 0.915

Output
Total energy (eV/atom): -6.106
Volume (Å³ per cell): 174

Dy2Tm2C3: optimized geometry, PBE.

abc: 12.930 3.669 6.034
angles: 90.00 115.52 90.00
Positions (direct):
Dy: 0.135 0.000 0.493
Dy: 0.365 0.500 0.507
Dy: 0.635 0.500 0.493
Dy: 0.865 0.000 0.507
Tm: 0.134 0.500 0.945
Tm: 0.366 0.000 0.055
Tm: 0.634 0.000 0.945
Tm: 0.866 0.500 0.055
C: 0.000 0.500 0.500
C: 0.220 0.000 0.205
C: 0.280 0.500 0.795
C: 0.500 0.000 0.500
C: 0.720 0.500 0.205
C: 0.780 0.000 0.795

Output
Total energy (eV/atom): -6.799
Volume (Å³ per cell): 258

DyTm2WC3: optimized geometry, PBE.

abc: 12.297 3.303 5.856
angles: 90.00 113.13 90.00
Positions (direct):
Dy: 0.000 0.000 0.000
Dy: 0.500 0.500 0.000
Tm: 0.022 0.500 0.494
Tm: 0.262 0.000 0.541
Tm: 0.522 0.000 0.494
Tm: 0.762 0.500 0.541
W: 0.236 0.500 0.022
W: 0.736 0.000 0.022
C: 0.135 0.000 0.772
C: 0.152 0.500 0.261
C: 0.354 0.000 0.044
C: 0.635 0.500 0.772
C: 0.652 0.000 0.261
C: 0.854 0.500 0.044

Output
Total energy (eV/atom): -7.989
Volume (Å³ per cell): 219

DyYTm2C3: optimized geometry, PBE.

abc: 12.933 3.676 6.036
angles: 90.00 115.43 90.00
Positions (direct):
Dy: 0.000 0.000 0.000
Dy: 0.500 0.500 0.000
Y: 0.271 0.000 0.986
Y: 0.771 0.500 0.986
Tm: 0.001 0.500 0.548
Tm: 0.269 0.500 0.439
Tm: 0.501 0.000 0.548
Tm: 0.769 0.000 0.439
C: 0.135 0.500 0.994
C: 0.356 0.000 0.698
C: 0.416 0.500 0.289
C: 0.635 0.000 0.994
C: 0.856 0.500 0.698
C: 0.916 0.000 0.289

Output
Total energy (eV/atom): -7.066
Volume (Å³ per cell): 259

DyYW2C3: optimized geometry, PBE.

abc: 11.846 3.324 5.727
angles: 90.00 112.66 90.00
Positions (direct):
Dy: 0.000 0.000 0.000
Dy: 0.500 0.500 0.000
Y: 0.220 0.000 0.639
Y: 0.720 0.500 0.639
W: 0.266 0.500 0.145
W: 0.454 0.000 0.495
W: 0.766 0.000 0.145
W: 0.954 0.500 0.495
C: 0.110 0.500 0.820
C: 0.360 0.500 0.555
C: 0.361 0.000 0.086
C: 0.610 0.000 0.820
C: 0.860 0.000 0.555
C: 0.861 0.500 0.086

Output
Total energy (eV/atom): -9.578
Volume (Å³ per cell): 208

DyYC: optimized geometry, PBE.

abc: 4.451 4.451 6.998
angles: 90.00 90.00 90.00
Positions (direct):
Dy: 0.000 0.000 0.000
Dy: 0.000 0.000 0.500
Y: 0.500 0.500 0.250
Y: 0.500 0.500 0.750
C: 0.000 0.500 0.000
C: 0.500 0.000 0.500

Output
Total energy (eV/atom): -6.484
Volume (Å³ per cell): 139

DyYC: optimized geometry, PBE.

abc: 3.599 3.599 18.349
angles: 90.00 90.00 120.00
Positions (direct):
Dy: 0.000 0.000 0.000
Dy: 0.333 0.667 0.667
Dy: 0.667 0.333 0.333
Y: 0.000 0.000 0.520
Y: 0.333 0.667 0.187
Y: 0.667 0.333 0.853
C: 0.000 0.000 0.260
C: 0.333 0.667 0.927
C: 0.667 0.333 0.594

Output
Total energy (eV/atom): -7.052
Volume (Å³ per cell): 206